GeAu4, relaxed, DFT PBE; space group = Pm-3m; DOS at the Fermi energy = 2.09 states/eV/f.u.; E above lowest polymorph = 216 kJ/mol of formula units
1.0
4.854 0.000 0.000
0.000 4.854 0.000
0.000 0.000 4.854
Ge Au
1 4
Cartesian
0.000 0.000 0.000
0.000 0.000 2.427
0.000 2.427 0.000
2.427 0.000 0.000
2.427 2.427 2.427

---

CsNaCd2, relaxed, DFT PBE; space group = R-3m; DOS at the Fermi energy = 2.53 states/eV/f.u.; E above lowest polymorph = 7 kJ/mol of formula units
1.0
5.405 0.000 0.000
-2.702 4.681 0.000
0.000 0.000 20.306
Cs Na Cd
3 3 6
Cartesian
0.000 0.000 0.000
0.000 3.121 13.537
2.702 1.560 6.769
0.000 0.000 10.153
0.000 3.121 3.384
2.702 1.560 16.922
0.000 0.000 3.803
0.000 0.000 16.503
0.000 3.121 9.734
0.000 3.121 17.340
2.702 1.560 2.966
2.702 1.560 10.572

---

Ac4GaBi2, relaxed, DFT PBE; space group = I4/mmm; DOS at the Fermi energy = 4.99 states/eV/f.u.; total DFT energy (no corrections) = -4.299 eV/atom
1.0
5.805 0.000 0.000
0.000 5.805 0.000
0.000 0.000 17.746
Ac Ga Bi
8 2 4
Cartesian
0.000 0.000 3.127
0.000 0.000 14.619
0.000 2.903 0.000
0.000 2.903 8.873
2.903 0.000 0.000
2.903 0.000 8.873
2.903 2.903 5.746
2.903 2.903 12.000
0.000 0.000 0.000
2.903 2.903 8.873
0.000 0.000 6.522
0.000 0.000 11.223
2.903 2.903 2.351
2.903 2.903 15.395

---

What did the second record say?
CsNaCd2, relaxed, DFT PBE; space group = R-3m; DOS at the Fermi energy = 2.53 states/eV/f.u.; E above lowest polymorph = 7 kJ/mol of formula units
1.0
5.405 0.000 0.000
-2.702 4.681 0.000
0.000 0.000 20.306
Cs Na Cd
3 3 6
Cartesian
0.000 0.000 0.000
0.000 3.121 13.537
2.702 1.560 6.769
0.000 0.000 10.153
0.000 3.121 3.384
2.702 1.560 16.922
0.000 0.000 3.803
0.000 0.000 16.503
0.000 3.121 9.734
0.000 3.121 17.340
2.702 1.560 2.966
2.702 1.560 10.572

---

Question: What is the formula in the first record?
Answer: GeAu4

---

Question: Number 2 is which compound?
Answer: CsNaCd2